No. 1
{"formula": "Nd15Dy4Sc", "functional": "PBE-GGA", "state": "relaxed", "dos_ef_per_ev_atom": 1.33, "e_form_ev_per_atom": 0.02, "magmom_total_mub_per_fu": 0.00, "space_group": "No. 123", "cell": [[5.144, 0.000, 0.000], [0.000, 5.144, 0.000], [0.000, 0.000, 25.622]], "species": ["Nd", "Nd", "Nd", "Nd", "Nd", "Nd", "Nd", "Nd", "Nd", "Nd", "Nd", "Nd", "Nd", "Nd", "Nd", "Dy", "Dy", "Dy", "Dy", "Sc"], "frac_coords": [[0.000, 0.000, 0.000], [0.000, 0.000, 0.198], [0.000, 0.000, 0.399], [0.000, 0.000, 0.601], [0.000, 0.000, 0.802], [0.000, 0.500, 0.097], [0.000, 0.500, 0.299], [0.000, 0.500, 0.500], [0.000, 0.500, 0.701], [0.000, 0.500, 0.903], [0.500, 0.000, 0.097], [0.500, 0.000, 0.299], [0.500, 0.000, 0.500], [0.500, 0.000, 0.701], [0.500, 0.000, 0.903], [0.500, 0.500, 0.198], [0.500, 0.500, 0.399], [0.500, 0.500, 0.601], [0.500, 0.500, 0.802], [0.500, 0.500, 0.000]]}


No. 2
{"formula": "Nd8Dy2Sc3", "functional": "PBE-GGA", "state": "relaxed", "dos_ef_per_ev_atom": 1.43, "e_form_ev_per_atom": 0.24, "magmom_total_mub_per_fu": 0.00, "space_group": "No. 12", "e_above_lowest_polymorph_mev_per_atom": 60, "cell": [[7.493, -4.469, 0.000], [7.493, 4.469, 0.000], [-1.139, 0.000, 6.576]], "species": ["Nd", "Nd", "Nd", "Nd", "Nd", "Nd", "Nd", "Nd", "Dy", "Dy", "Sc", "Sc", "Sc"], "frac_coords": [[0.072, 0.706, 0.066], [0.091, 0.091, 0.402], [0.294, 0.928, 0.934], [0.311, 0.311, 0.680], [0.689, 0.689, 0.320], [0.706, 0.072, 0.066], [0.909, 0.909, 0.598], [0.928, 0.294, 0.934], [0.305, 0.305, 0.199], [0.695, 0.695, 0.801], [0.339, 0.661, 0.500], [0.500, 0.500, 0.000], [0.661, 0.339, 0.500]]}


No. 3
{"formula": "Nd3Dy3Sc", "functional": "PBE-GGA", "state": "relaxed", "dos_ef_per_ev_atom": 1.96, "e_form_ev_per_atom": 0.04, "magmom_total_mub_per_fu": 0.00, "space_group": "No. 176", "e_above_lowest_polymorph_mev_per_atom": 0, "cell": [[9.581, 0.000, 0.000], [-4.790, 8.297, 0.000], [0.000, 0.000, 5.693]], "species": ["Nd", "Nd", "Nd", "Nd", "Nd", "Nd", "Dy", "Dy", "Dy", "Dy", "Dy", "Dy", "Sc", "Sc"], "frac_coords": [[0.097, 0.477, 0.250], [0.380, 0.903, 0.250], [0.477, 0.380, 0.750], [0.523, 0.620, 0.250], [0.620, 0.097, 0.750], [0.903, 0.523, 0.750], [0.050, 0.238, 0.750], [0.189, 0.950, 0.750], [0.238, 0.189, 0.250], [0.762, 0.811, 0.750], [0.811, 0.050, 0.250], [0.950, 0.762, 0.250], [0.333, 0.667, 0.750], [0.667, 0.333, 0.250]]}


No. 4
{"formula": "NdDy2Sc3", "functional": "PBE-GGA", "state": "relaxed", "dos_ef_per_ev_atom": 1.61, "e_form_ev_per_atom": 0.08, "magmom_total_mub_per_fu": 0.00, "space_group": "No. 11", "cell": [[5.977, 0.000, 0.000], [0.000, 3.456, 0.000], [-1.992, 0.000, 16.541]], "species": ["Nd", "Nd", "Dy", "Dy", "Dy", "Dy", "Sc", "Sc", "Sc", "Sc", "Sc", "Sc"], "frac_coords": [[0.028, 0.250, 0.332], [0.972, 0.750, 0.668], [0.250, 0.250, 0.000], [0.474, 0.250, 0.667], [0.526, 0.750, 0.333], [0.750, 0.750, 0.000], [0.139, 0.750, 0.164], [0.253, 0.750, 0.501], [0.363, 0.750, 0.835], [0.637, 0.250, 0.165], [0.747, 0.250, 0.499], [0.861, 0.250, 0.836]]}


No. 5
{"formula": "Nd2DySc", "functional": "PBE-GGA", "state": "relaxed", "dos_ef_per_ev_atom": 1.41, "e_form_ev_per_atom": 0.04, "magmom_total_mub_per_fu": 0.00, "space_group": "No. 123", "e_above_lowest_polymorph_mev_per_atom": 0, "cell": [[5.043, 0.000, 0.000], [0.000, 5.043, 0.000], [0.000, 0.000, 4.924]], "species": ["Nd", "Nd", "Dy", "Sc"], "frac_coords": [[0.000, 0.500, 0.000], [0.500, 0.000, 0.000], [0.000, 0.000, 0.500], [0.500, 0.500, 0.500]]}


No. 6
{"formula": "Nd2DySc", "functional": "PBE-GGA", "state": "relaxed", "dos_ef_per_ev_atom": 1.45, "e_form_ev_per_atom": 0.06, "magmom_total_mub_per_fu": 0.00, "space_group": "No. 160", "e_above_lowest_polymorph_mev_per_atom": 17, "cell": [[1.783, 1.030, 11.421], [-1.783, 1.030, 11.421], [0.000, -2.059, 11.421]], "species": ["Nd", "Nd", "Dy", "Sc"], "frac_coords": [[0.000, 0.000, 0.000], [0.172, 0.172, 0.172], [0.419, 0.419, 0.419], [0.586, 0.586, 0.586]]}


No. 7
{"formula": "Nd5Dy4Sc2", "functional": "PBE-GGA", "state": "relaxed", "dos_ef_per_ev_atom": 1.67, "e_form_ev_per_atom": 0.23, "magmom_total_mub_per_fu": 0.00, "space_group": "No. 71", "e_above_lowest_polymorph_mev_per_atom": 150, "cell": [[-1.741, 4.611, 11.464], [1.741, -4.611, 11.464], [1.741, 4.611, -11.464]], "species": ["Nd", "Nd", "Nd", "Nd", "Nd", "Dy", "Dy", "Dy", "Dy", "Sc", "Sc"], "frac_coords": [[0.000, 0.000, 0.000], [0.053, 0.347, 0.706], [0.359, 0.653, 0.706], [0.641, 0.347, 0.294], [0.947, 0.653, 0.294], [0.310, 0.500, 0.810], [0.401, 0.901, 0.500], [0.599, 0.099, 0.500], [0.690, 0.500, 0.190], [0.270, 0.770, 0.500], [0.730, 0.230, 0.500]]}


No. 8
{"formula": "Nd2Dy3Sc3", "functional": "PBE-GGA", "state": "relaxed", "dos_ef_per_ev_atom": 1.54, "e_form_ev_per_atom": 0.04, "magmom_total_mub_per_fu": 0.00, "space_group": "No. 12", "e_above_lowest_polymorph_mev_per_atom": 0, "cell": [[11.568, -1.754, 0.000], [11.568, 1.754, 0.000], [-1.545, 0.000, 5.819]], "species": ["Nd", "Nd", "Dy", "Dy", "Dy", "Sc", "Sc", "Sc"], "frac_coords": [[0.246, 0.246, 0.241], [0.754, 0.754, 0.759], [0.000, 0.000, 0.000], [0.122, 0.122, 0.462], [0.878, 0.878, 0.538], [0.379, 0.379, 0.046], [0.500, 0.500, 0.500], [0.621, 0.621, 0.954]]}


No. 9
{"formula": "Nd6Dy4Sc", "functional": "PBE-GGA", "state": "relaxed", "dos_ef_per_ev_atom": 1.69, "e_form_ev_per_atom": 0.13, "magmom_total_mub_per_fu": 0.00, "space_group": "No. 63", "cell": [[2.913, -4.827, 0.000], [2.913, 4.827, 0.000], [0.000, 0.000, 25.839]], "species": ["Nd", "Nd", "Nd", "Nd", "Nd", "Nd", "Nd", "Nd", "Nd", "Nd", "Nd", "Nd", "Dy", "Dy", "Dy", "Dy", "Dy", "Dy", "Dy", "Dy", "Sc", "Sc"], "frac_coords": [[0.000, 0.000, 0.000], [0.000, 0.000, 0.500], [0.045, 0.955, 0.750], [0.300, 0.700, 0.105], [0.300, 0.700, 0.395], [0.375, 0.625, 0.683], [0.375, 0.625, 0.817], [0.625, 0.375, 0.183], [0.625, 0.375, 0.317], [0.700, 0.300, 0.605], [0.700, 0.300, 0.895], [0.955, 0.045, 0.250], [0.043, 0.957, 0.624], [0.043, 0.957, 0.876], [0.349, 0.651, 0.545], [0.349, 0.651, 0.955], [0.651, 0.349, 0.045], [0.651, 0.349, 0.455], [0.957, 0.043, 0.124], [0.957, 0.043, 0.376], [0.293, 0.707, 0.250], [0.707, 0.293, 0.750]]}


No. 10
{"formula": "Nd4Dy5Sc2", "functional": "PBE-GGA", "state": "relaxed", "dos_ef_per_ev_atom": 1.47, "e_form_ev_per_atom": 0.31, "magmom_total_mub_per_fu": 0.00, "space_group": "No. 71", "e_above_lowest_polymorph_mev_per_atom": 264, "cell": [[-1.732, 4.670, 11.156], [1.732, -4.670, 11.156], [1.732, 4.670, -11.156]], "species": ["Nd", "Nd", "Nd", "Nd", "Dy", "Dy", "Dy", "Dy", "Dy", "Sc", "Sc"], "frac_coords": [[0.098, 0.098, 0.000], [0.206, 0.500, 0.706], [0.794, 0.500, 0.294], [0.902, 0.902, 0.000], [0.138, 0.344, 0.793], [0.449, 0.656, 0.793], [0.500, 0.000, 0.500], [0.551, 0.344, 0.207], [0.862, 0.656, 0.207], [0.230, 0.230, 0.000], [0.770, 0.770, 0.000]]}


No. 11
{"formula": "Nd2Dy6Sc3", "functional": "PBE-GGA", "state": "relaxed", "dos_ef_per_ev_atom": 1.55, "e_form_ev_per_atom": 0.20, "magmom_total_mub_per_fu": 0.00, "space_group": "No. 12", "cell": [[2.999, -5.201, 0.000], [2.999, 5.201, 0.000], [-2.015, 0.000, 11.251]], "species": ["Nd", "Nd", "Dy", "Dy", "Dy", "Dy", "Dy", "Dy", "Sc", "Sc", "Sc"], "frac_coords": [[0.167, 0.833, 0.000], [0.833, 0.167, 0.000], [0.079, 0.413, 0.738], [0.253, 0.253, 0.261], [0.413, 0.079, 0.738], [0.587, 0.921, 0.262], [0.747, 0.747, 0.739], [0.921, 0.587, 0.262], [0.000, 0.000, 0.500], [0.335, 0.665, 0.500], [0.665, 0.335, 0.500]]}


No. 12
{"formula": "Nd9DySc2", "functional": "PBE-GGA", "state": "relaxed", "dos_ef_per_ev_atom": 1.47, "e_form_ev_per_atom": 0.03, "magmom_total_mub_per_fu": 0.00, "space_group": "No. 123", "cell": [[5.084, 0.000, 0.000], [0.000, 5.084, 0.000], [0.000, 0.000, 15.272]], "species": ["Nd", "Nd", "Nd", "Nd", "Nd", "Nd", "Nd", "Nd", "Nd", "Dy", "Sc", "Sc"], "frac_coords": [[0.000, 0.000, 0.000], [0.000, 0.000, 0.336], [0.000, 0.000, 0.664], [0.000, 0.500, 0.171], [0.000, 0.500, 0.500], [0.000, 0.500, 0.829], [0.500, 0.000, 0.171], [0.500, 0.000, 0.500], [0.500, 0.000, 0.829], [0.500, 0.500, 0.000], [0.500, 0.500, 0.335], [0.500, 0.500, 0.665]]}